VASP calculation (PBE) on crystalline Sn3TeSe at its relaxed geometry.

Values from the calculation:
The value obtained for the magnetization is 0.00 μB/atom. Its uncorrected formation energy is 0.67 eV per atom. Its electronic total energy is -3.06 eV/atom. The calculation puts the volume at 200.6 Å³/cell.

Lattice parameters (Å, degrees): 5.8534 5.8534 5.8534 90.00 90.00 90.00
Last column: nearest neighbours and their distance in Å.
Sites, in units of the cell vectors:
Te  0.0000  0.0000  0.0000  6 Sn 2.93
Sn  0.0000  0.5000  0.0000  2 Te 2.93
Sn  0.0000  0.0000  0.5000  2 Te 2.93
Sn  0.5000  0.0000  0.0000  2 Te 2.93
Se  0.5000  0.5000  0.5000  12 Sn 4.14